The following is a PBE calculation of a relaxed structure of Cs2ErThSe4, from Alexandria.

The structure in POSCAR format:
```
Cs2ErThSe4
1.0
4.2689 0.0000 0.0000
0.0000 7.3970 0.1376
0.0000 -2.6047 8.3945
Cs Er Se Th
2 1 4 1
Direct
0.0000 0.5000 0.5000 Cs
0.5000 0.0000 0.5000 Cs
0.5000 0.5000 0.0000 Er
0.5000 0.7623 0.8079 Se
0.0000 0.7236 0.1865 Se
0.0000 0.2764 0.8135 Se
0.5000 0.2377 0.1921 Se
0.0000 0.0000 0.0000 Th
```

Output
Fermi-level density of states (states/eV/f.u.): 4.0
SG: No. 10



The following is a PBE calculation of a relaxed structure of Cs4ErTh3Se8, from Alexandria.

The structure in POSCAR format:
```
Cs4ErTh3Se8
1.0
8.5640 0.0000 0.0000
0.0000 9.7964 0.8664
-4.2820 -4.2823 6.0565
Se Er Cs Th
8 1 4 3
Direct
0.2267 0.6910 0.4534 Se
0.2267 0.6909 0.9644 Se
0.2624 0.3091 0.0356 Se
0.2675 0.3024 0.5350 Se
0.7376 0.6909 0.9644 Se
0.7733 0.3090 0.5466 Se
0.7733 0.3091 0.0356 Se
0.7325 0.6976 0.4650 Se
0.0000 0.5000 0.0000 Er
0.0000 0.0000 0.5000 Cs
0.0000 0.0000 0.0000 Cs
0.5000 0.0000 0.5000 Cs
0.5000 0.0000 0.0000 Cs
0.5000 0.5000 0.5000 Th
0.5000 0.5000 0.0000 Th
0.0000 0.5000 0.5000 Th
```

Output
Fermi-level density of states (states/eV/f.u.): 9.6
SG: No. 166



The following is a PBE calculation of a relaxed structure of Cs4Er3ThSe8, from Alexandria.

The structure in POSCAR format:
```
Cs4Er3ThSe8
1.0
8.5010 0.0000 0.0000
0.0000 9.7006 0.8368
-4.2505 -4.2549 6.0166
Se Th Er Cs
8 1 3 4
Direct
0.7683 0.3127 0.5366 Se
0.7681 0.3127 0.0439 Se
0.2319 0.6873 0.9561 Se
0.7280 0.6832 0.4559 Se
0.7242 0.6873 0.9561 Se
0.2317 0.6873 0.4634 Se
0.2720 0.3168 0.5441 Se
0.2758 0.3127 0.0439 Se
0.0000 0.5000 0.0000 Th
0.0000 0.5000 0.5000 Er
0.5000 0.5000 0.5000 Er
0.5000 0.5000 0.0000 Er
0.5000 0.0000 0.0000 Cs
0.0000 0.0000 0.0000 Cs
0.0000 0.0000 0.5000 Cs
0.5000 0.0000 0.5000 Cs
```

Output
Fermi-level density of states (states/eV/f.u.): 4.7
SG: No. 12



The following is a PBE calculation of a relaxed structure of CsErTiSe4, from Alexandria.

The structure in POSCAR format:
```
CsErTiSe4
1.0
6.7972 0.0000 -0.2206
0.0000 7.1620 0.0000
-2.9527 0.0000 9.4862
Se Er Ti Cs
8 2 2 2
Direct
0.4595 0.7500 0.5783 Se
0.9877 0.0046 0.3086 Se
0.5582 0.2500 0.8087 Se
0.5405 0.2500 0.4217 Se
0.9877 0.4954 0.3086 Se
0.4418 0.7500 0.1913 Se
0.0123 0.5046 0.6914 Se
0.0123 0.9954 0.6914 Se
0.2084 0.2500 0.5422 Er
0.7916 0.7500 0.4578 Er
0.7648 0.2500 0.6569 Ti
0.2352 0.7500 0.3431 Ti
0.2566 0.2500 0.0567 Cs
0.7434 0.7500 0.9433 Cs
```

Output
Fermi-level density of states (states/eV/f.u.): 0.0
SG: No. 11



The following is a PBE calculation of a relaxed structure of Cs2Er2TiSe6, from Alexandria.

The structure in POSCAR format:
```
Cs2Er2TiSe6
1.0
6.9421 -0.0012 0.0352
-3.4322 6.0342 0.0352
-1.2803 -2.2007 8.5221
Er Se Cs Ti
2 6 2 1
Direct
0.3325 0.6675 0.5000 Er
0.6675 0.3325 0.5000 Er
0.3725 0.0651 0.6784 Se
0.2470 0.2470 0.3236 Se
0.0651 0.3725 0.6784 Se
0.7530 0.7530 0.6764 Se
0.9349 0.6275 0.3216 Se
0.6275 0.9349 0.3216 Se
0.1715 0.8285 0.0000 Cs
0.8285 0.1715 0.0000 Cs
0.0000 0.0000 0.5000 Ti
```

Output
SG: No. 12



The following is a PBE calculation of a relaxed structure of Cs3ErTm3Se8, from Alexandria.

The structure in POSCAR format:
```
Cs3ErTm3Se8
1.0
-7.3152 3.8111 -0.5208
2.9619 -2.2688 7.3748
4.3628 7.8311 -3.9741
Tm Cs Se Er
3 3 8 1
Direct
0.5000 0.5000 0.5000 Tm
0.0000 0.5000 0.5000 Tm
0.5000 0.0000 0.5000 Tm
0.0000 0.5000 0.0000 Cs
0.0000 0.0000 0.0000 Cs
0.5000 0.5000 0.0000 Cs
0.2723 0.5445 0.3168 Se
0.7255 0.9542 0.6828 Se
0.7713 0.5427 0.3172 Se
0.7713 0.0458 0.3172 Se
0.2745 0.0458 0.3172 Se
0.2287 0.9542 0.6828 Se
0.2287 0.4573 0.6828 Se
0.7277 0.4555 0.6832 Se
0.0000 0.0000 0.5000 Er
```

Output
Fermi-level density of states (states/eV/f.u.): 9.2
SG: No. 166



| no. | raw total energy (eV per atom) |
| --- | --- |
| 1 | -5.06 |
| 2 | -5.19 |
| 3 | -4.94 |
| 4 | -5.33 |
| 5 | -5.14 |
| 6 | -4.89 |